Below is a geometry-optimized RbPWO2 structure, with properties calculated at the PBE with a Hubbard U level.

Unit cell a=4.1625 b=4.1625 c=6.1160 alpha=90.00 beta=90.00 gamma=90.00
Last column: nearest neighbours and their distance in Å.
Sites, in units of the cell vectors:
O1 0.0000 0.5000 0.0000  2 Rb 2.08
O2 0.5000 0.0000 0.0000  2 Rb 2.08
P1 0.0000 0.0000 0.5000  4 W 2.94, 2 Rb 3.06
W1 0.5000 0.5000 0.5000  4 P 2.94
Rb1 0.0000 0.0000 0.0000  4 O 2.08

Values from the calculation:
Space group   P4/mmm (123)
Final energy   -16.3 eV for the cell shown
Crystal system   tetragonal
Spin magnetization   0.60 μB per atom